Record 1
UTcSnPt | GGA-PBE | optimized geometry

Computed properties:
The energy of formation comes out at -0.71 eV per formula unit. As for the density: 13.99 g/cm³. The value obtained for the final energy is -129.6 eV for the cell shown.

Lattice parameters (Å, degrees): 6.757 6.757 6.757 90.00 90.00 90.00
Space group F-43m (No. 216)
Unique sites:
U 0.000 0.000 0.000 x4
Tc 0.250 0.250 0.250 x4
Sn 0.000 0.000 0.500 x4
Pt 0.250 0.250 0.750 x4

=====

Record 2
Mg3Al2Cd | GGA-PBE | optimized geometry

Computed properties:
The energy of formation comes out at -0.09 eV per formula unit. As for the density: 3.28 g/cm³. The value obtained for the final energy is -26.5 eV for the cell shown.

Lattice parameters (Å, degrees): 4.301 13.246 4.250 90.00 90.00 90.00
Space group Cmmm (No. 65)
Unique sites:
Mg 0.000 0.000 0.000 x2
Mg 0.000 0.331 0.000 x4
Al 0.000 0.173 0.500 x4
Cd 0.000 0.500 0.500 x2

=====

Record 3
P2SeSO | GGA-PBE | optimized geometry

Computed properties:
The value obtained for the distance to the lowest polymorph of the same formula is 0.251 eV per atom. As for the density: 3.57 g/cm³. The value obtained for the final energy is -19.4 eV for the cell shown.

Lattice parameters (Å, degrees): 4.889 4.889 3.673 90.00 90.00 90.00
Space group P4/mmm (No. 123)
Unique sites:
P 0.000 0.500 0.000 x2
Se 0.000 0.000 0.000 x1
S 0.500 0.500 0.500 x1
O 0.000 0.000 0.500 x1

=====

Record 4
LaW3Cl | GGA-PBE | optimized geometry

Computed properties:
The value obtained for the distance to the lowest polymorph of the same formula is 0.000 eV per atom. As for the density: 12.29 g/cm³. The value obtained for the final energy is -38.7 eV for the cell shown.

Lattice parameters (Å, degrees): 4.612 4.612 4.612 90.00 90.00 90.00
Space group Pm-3m (No. 221)
Unique sites:
La 0.000 0.000 0.000 x1
W 0.000 0.500 0.500 x3
Cl 0.500 0.500 0.500 x1

=====

Record 5
PtPbSeN2 | GGA-PBE | optimized geometry

Computed properties:
The value obtained for the distance to the lowest polymorph of the same formula is 0.893 eV per atom. As for the density: 7.97 g/cm³. The value obtained for the final energy is -20.0 eV for the cell shown.

Lattice parameters (Å, degrees): 4.261 4.261 5.844 90.00 90.00 90.00
Space group P4/mmm (No. 123)
Unique sites:
Pt 0.000 0.000 0.000 x1
Pb 0.500 0.500 0.500 x1
Se 0.500 0.500 0.000 x1
N 0.000 0.500 0.500 x2

=====

Record 6
Hg2Ir2Se | GGA-PBE | optimized geometry

Computed properties:
The value obtained for the distance to the lowest polymorph of the same formula is 0.410 eV per atom. As for the density: 14.33 g/cm³. The value obtained for the final energy is -34.8 eV for the cell shown.

Lattice parameters (Å, degrees): 3.838 3.838 13.606 90.00 90.00 90.00
Space group I4/mmm (No. 139)
Unique sites:
Hg 0.000 0.500 0.250 x4
Ir 0.000 0.000 0.091 x4
Se 0.000 0.000 0.500 x2

=====

Record 7
ErS4 | GGA-PBE | optimized geometry

Computed properties:
The value obtained for the distance to the lowest polymorph of the same formula is 0.958 eV per atom. As for the density: 3.32 g/cm³. The value obtained for the final energy is -20.2 eV for the cell shown.

Lattice parameters (Å, degrees): 5.286 5.286 5.286 90.00 90.00 90.00
Space group Pm-3m (No. 221)
Unique sites:
Er 0.000 0.000 0.000 x1
S 0.000 0.000 0.500 x3
S 0.500 0.500 0.500 x1

=====

Record 8
UTcBi | GGA-PBE | optimized geometry

Computed properties:
The energy of formation comes out at 1.09 eV per formula unit. As for the density: 12.32 g/cm³. The value obtained for the final energy is -97.8 eV for the cell shown.

Lattice parameters (Å, degrees): 13.589 3.307 7.874 90.00 123.86 90.00
Space group C2/m (No. 12)
Unique sites:
U 0.043 0.000 0.395 x4
Tc 0.141 0.000 0.878 x4
Bi 0.182 0.500 0.215 x4